RuW2Cl | PBE | optimized geometry

abc: 2.940 4.540 4.673
angles: 90.00 90.00 90.00
Positions (direct):
Cl: 0.500 0.000 0.500
Ru: 0.000 0.500 0.500
W: 0.000 0.000 0.000
W: 0.500 0.500 0.000

Crystal system: orthorhombic
Formation energy without anion corrections in meV/atom: 918
Distance to the lowest polymorph of the same formula in eV/f.u.: 2.46
VASP energy in eV per atom: -8.339

RuW2Cl | PBE | optimized geometry

abc: 5.289 5.289 4.537
angles: 64.65 64.65 32.14
Positions (direct):
Cl: 0.750 0.750 0.750
Ru: 0.250 0.250 0.250
W: 0.021 0.021 0.979
W: 0.479 0.479 0.521

Crystal system: orthorhombic
Formation energy without anion corrections in meV/atom: 763
Distance to the lowest polymorph of the same formula in eV/f.u.: 1.84
VASP energy in eV per atom: -8.494

RuW2Cl | PBE | optimized geometry

abc: 5.301 5.301 5.301
angles: 148.50 129.16 61.05
Positions (direct):
Cl: 0.503 0.503 0.000
Ru: 0.264 0.764 0.500
W: 0.009 0.009 0.000
W: 0.724 0.224 0.500

Crystal system: orthorhombic
Formation energy without anion corrections in meV/atom: 651
Distance to the lowest polymorph of the same formula in eV/f.u.: 1.39
VASP energy in eV per atom: -8.606

RuW2Cl | PBE | optimized geometry

abc: 3.731 2.864 6.482
angles: 89.95 90.00 90.00
Positions (direct):
Cl: 0.500 0.250 0.250
Ru: 0.500 0.750 0.750
W: 0.000 0.249 0.949
W: 0.000 0.251 0.551

Crystal system: orthorhombic
Formation energy without anion corrections in meV/atom: 563
Distance to the lowest polymorph of the same formula in eV/f.u.: 1.04
VASP energy in eV per atom: -8.694

Ru2WCl | PBE | optimized geometry

abc: 2.847 2.847 8.909
angles: 90.00 90.00 120.46
Positions (direct):
Cl: 0.500 0.500 0.745
Ru: 0.000 0.000 0.003
Ru: 0.500 0.500 0.250
W: 0.000 0.000 0.501

Crystal system: orthorhombic
Formation energy without anion corrections in meV/atom: 667
Distance to the lowest polymorph of the same formula in eV/f.u.: 1.43
VASP energy in eV per atom: -7.671

Ru2WCl | PBE | optimized geometry

abc: 4.636 4.636 2.856
angles: 90.00 90.00 98.67
Positions (direct):
Cl: 0.000 0.500 0.500
Ru: 0.000 0.000 0.000
Ru: 0.500 0.500 0.000
W: 0.500 0.000 0.500

Crystal system: orthorhombic
Formation energy without anion corrections in meV/atom: 868
Distance to the lowest polymorph of the same formula in eV/f.u.: 2.23
VASP energy in eV per atom: -7.470

What is the formula in the third record?
RuW2Cl

Look up the formation energy without anion corrections of the fifth one.
667 meV/atom